(1)
The following is a GGA-PBEsol calculation of a geometry-optimized LiTiN2F structure, from the Alexandria database.

The polymorph energy (0 for the lowest one) is 0 meV/atom. For the total energy, the calculation gives -6.779 eV per atom. Its volume is 11.922 A^3/atom. As for the crystal system: tetragonal. The calculation puts the size of the total moment at 0.0000 μB per atom. The raw formation energy comes out at -925 meV per atom.

Cell lengths 3.848, 3.848, 4.026 Å; angles 90.00, 90.00, 90.00 degrees
Fractional positions:
N 0.000 0.500 0.000
N 0.500 0.000 0.000
F 0.000 0.000 0.500
Li 0.500 0.500 0.500
Ti 0.000 0.000 0.000


(2)
The following is a GGA-PBEsol calculation of a geometry-optimized LiTiN2F structure, from the Alexandria database.

The polymorph energy (0 for the lowest one) is 759 meV/atom. For the total energy, the calculation gives -6.020 eV per atom. Its volume is 8.308 A^3/atom. As for the crystal system: tetragonal. The calculation puts the size of the total moment at 0.0012 μB per atom. The raw formation energy comes out at -166 meV per atom.

Cell lengths 3.314, 3.540, 3.540 Å; angles 90.00, 90.00, 90.00 degrees
Fractional positions:
N 0.000 0.000 0.500
N 0.000 0.500 0.000
F 0.500 0.000 0.000
Li 0.000 0.000 0.000
Ti 0.500 0.500 0.500


(3)
The following is a GGA-PBEsol calculation of a geometry-optimized LiTlNF2 structure, from the Alexandria database.

For the total energy, the calculation gives -4.023 eV per atom. Its volume is 17.171 A^3/atom. As for the crystal system: tetragonal. The calculation puts the size of the total moment at 0.2003 μB per atom. The raw formation energy comes out at -628 meV per atom.

Cell lengths 4.039, 4.610, 4.610 Å; angles 90.00, 90.00, 90.00 degrees
Fractional positions:
Tl 0.000 0.000 0.000
N 0.500 0.000 0.000
Li 0.500 0.500 0.500
F 0.000 0.000 0.500
F 0.000 0.500 0.000


(4)
The following is a GGA-PBEsol calculation of a geometry-optimized LiWN2F structure, from the Alexandria database.

For the total energy, the calculation gives -7.727 eV per atom. Its volume is 12.275 A^3/atom. As for the crystal system: tetragonal. The calculation puts the size of the total moment at 0.0000 μB per atom. The raw formation energy comes out at -776 meV per atom.

Cell lengths 3.904, 3.904, 4.027 Å; angles 90.00, 90.00, 90.00 degrees
Fractional positions:
N 0.000 0.500 0.000
N 0.500 0.000 0.000
Li 0.500 0.500 0.500
W 0.000 0.000 0.000
F 0.000 0.000 0.500


(5)
The following is a GGA-PBEsol calculation of a geometry-optimized LiZnN2F structure, from the Alexandria database.

For the total energy, the calculation gives -4.115 eV per atom. Its volume is 12.418 A^3/atom. As for the crystal system: tetragonal. The calculation puts the size of the total moment at 0.5546 μB per atom. The raw formation energy comes out at 391 meV per atom.

Cell lengths 3.803, 3.803, 4.293 Å; angles 90.00, 90.00, 90.00 degrees
Fractional positions:
Zn 0.000 0.000 0.000
N 0.000 0.500 0.000
N 0.500 0.000 0.000
Li 0.500 0.500 0.500
F 0.000 0.000 0.500


(6)
The following is a GGA-PBEsol calculation of a geometry-optimized LiZr2NF structure, from the Alexandria database.

For the total energy, the calculation gives -6.113 eV per atom. Its volume is 12.895 A^3/atom. As for the crystal system: tetragonal. The calculation puts the size of the total moment at 0.0001 μB per atom. The raw formation energy comes out at 7 meV per atom.

Cell lengths 3.254, 4.452, 4.452 Å; angles 90.00, 90.00, 90.00 degrees
Fractional positions:
N 0.500 0.000 0.000
Li 0.000 0.000 0.000
Zr 0.000 0.000 0.500
Zr 0.000 0.500 0.000
F 0.500 0.500 0.500


(7)
The following is a GGA-PBEsol calculation of a geometry-optimized NaLi3F structure, from the Alexandria database.

For the total energy, the calculation gives -2.766 eV per atom. Its volume is 17.452 A^3/atom. As for the crystal system: cubic. The calculation puts the size of the total moment at 0.0000 μB per atom. The raw formation energy comes out at -921 meV per atom.

Cell lengths 4.435, 4.435, 4.435 Å; angles 90.00, 90.00, 90.00 degrees
Fractional positions:
Na 0.500 0.500 0.500
F 0.000 0.000 0.000
Li 0.000 0.500 0.000
Li 0.000 0.000 0.500
Li 0.500 0.000 0.000


(8)
The following is a GGA-PBEsol calculation of a geometry-optimized NaLiOF2 structure, from the Alexandria database.

For the total energy, the calculation gives -4.032 eV per atom. Its volume is 10.851 A^3/atom. As for the crystal system: tetragonal. The calculation puts the size of the total moment at 0.4000 μB per atom. The raw formation energy comes out at -1538 meV per atom.

Cell lengths 3.651, 3.855, 3.855 Å; angles 90.00, 90.00, 90.00 degrees
Fractional positions:
Na 0.500 0.500 0.500
Li 0.000 0.000 0.000
O 0.500 0.000 0.000
F 0.000 0.000 0.500
F 0.000 0.500 0.000